## Al3SnSe (PBE)

Data for an optimized crystal structure of Al3SnSe.

Its energy above the most stable polymorph in this dataset is 0.0 meV/atom. The density of states at the Fermi level comes out at 1.9 states/eV/f.u. The magnetization comes out at 0.0 μB per formula unit. The calculation puts the calculated volume at 24.71 Å³ per atom.

The structure belongs to space group Pm-3m (No. 221); the cell edges are 4.981, 4.981 and 4.981 Å and the angles 90.00°, 90.00° and 90.00°. Symmetry generates all atoms from Al at (0.000, 0.000, 0.500), Sn at (0.500, 0.500, 0.500) and Se at (0.000, 0.000, 0.000).

***

## AlSnSe (PBE)

Data for an optimized crystal structure of AlSnSe.

As for the raw total energy: -3.980 eV/atom. The density of states at the Fermi level comes out at 1.7 states/eV/f.u. The magnetization comes out at 0.0 μB per formula unit. The calculation puts the calculated volume at 24.33 Å³ per atom.

The structure belongs to space group P3m1 (No. 156); the cell edges are 3.6263, 3.6263 and 6.4095 Å and the angles 90.00°, 90.00° and 120.00°. Symmetry generates all atoms from Al at (0.0000, 0.0000, 0.0000), Sn at (0.6667, 0.3333, 0.3530) and Se at (0.3333, 0.6667, 0.7908).

***

## Sr2AlSnSe5 (PBE)

Data for an optimized crystal structure of Sr2AlSnSe5.

As for the raw total energy: -4.421 eV/atom. The density of states at the Fermi level comes out at 2.9 states/eV/f.u. The magnetization comes out at 0.0 μB per formula unit. The calculation puts the calculated volume at 27.57 Å³ per atom.

The structure belongs to space group Cmc2_1 (No. 36); the cell edges are 4.078, 18.590 and 13.095 Å and the angles 90.00°, 90.00° and 90.00°. Symmetry generates all atoms from Sr at (0.000, 0.112, 0.000), Sr at (0.000, 0.125, 0.647), Al at (0.000, 0.444, 0.746), Sn at (0.000, 0.209, 0.354), Se at (0.000, 0.035, 0.348), Se at (0.000, 0.284, 0.004), Se at (0.000, 0.318, 0.694), Se at (0.000, 0.353, 0.326) and Se at (0.000, 0.495, 0.087).

***

## Al2TcSnSe (PBE)

Data for an optimized crystal structure of Al2TcSnSe.

As for the raw total energy: -4.768 eV/atom. The density of states at the Fermi level comes out at 5.0 states/eV/f.u. The magnetization comes out at 0.5 μB per formula unit. The calculation puts the calculated volume at 23.70 Å³ per atom.

The structure belongs to space group P4/mmm (No. 123); the cell edges are 4.791, 4.791 and 5.162 Å and the angles 90.00°, 90.00° and 90.00°. Symmetry generates all atoms from Al at (0.000, 0.500, 0.000), Tc at (0.000, 0.000, 0.000), Sn at (0.000, 0.000, 0.500) and Se at (0.500, 0.500, 0.500).

***

## AlTlSnSe3 (PBE)

Data for an optimized crystal structure of AlTlSnSe3.

As for the raw total energy: -3.999 eV/atom. The density of states at the Fermi level comes out at 0.1 states/eV/f.u. The magnetization comes out at 0.0 μB per formula unit. The calculation puts the calculated volume at 33.06 Å³ per atom.

The structure belongs to space group P2_1/m (No. 11); the cell edges are 9.657, 4.132 and 10.068 Å and the angles 90.00°, 99.09° and 90.00°. Symmetry generates all atoms from Al at (0.081, 0.250, 0.115), Tl at (0.167, 0.250, 0.673), Sn at (0.376, 0.750, 0.353), Se at (0.127, 0.250, 0.347), Se at (0.163, 0.750, 0.003) and Se at (0.403, 0.750, 0.626).

***

## Al2SnWSe (PBE)

Data for an optimized crystal structure of Al2SnWSe.

As for the raw total energy: -3.905 eV/atom. The density of states at the Fermi level comes out at 2.7 states/eV/f.u. The magnetization comes out at 4.4 μB per formula unit. The calculation puts the calculated volume at 28.39 Å³ per atom.

The structure belongs to space group P4/mmm (No. 123); the cell edges are 5.136, 5.136 and 5.380 Å and the angles 90.00°, 90.00° and 90.00°. Symmetry generates all atoms from Al at (0.000, 0.500, 0.000), Sn at (0.000, 0.000, 0.000), W at (0.500, 0.500, 0.500) and Se at (0.000, 0.000, 0.500).